First-principles (PBE with a Hubbard U) data for crystalline YMoClO4 at its relaxed geometry, as listed in Alexandria.

Lattice parameters (Å, degrees): 6.335 6.335 6.952 75.96 75.96 70.90
Element x y z (fractional)
O1 0.110 0.491 0.153
O2 0.293 0.293 0.534
O3 0.890 0.509 0.847
O4 0.458 0.458 0.798
O5 0.707 0.707 0.466
O6 0.542 0.542 0.202
O7 0.491 0.110 0.153
O8 0.509 0.890 0.847
Cl1 0.989 0.989 0.769
Cl2 0.011 0.011 0.231
Mo1 0.362 0.362 0.269
Mo2 0.638 0.638 0.731
Y1 0.778 0.778 0.114
Y2 0.222 0.222 0.886

Computed properties:
VASP energy = -51.11 eV/f.u.
SG = C2/m (12)
N(E_F) = 0.00 states/eV per atom